Record 1
BaZnCo2: relaxed, PBE.

Computed properties:
Spin magnetization   3.1 μB per formula unit
Energy   -3.90 eV/atom
E_form   0.45 eV per atom

Cell: 3.3730 3.3730 6.9292 Å, 90.00 90.00 90.00°
With the nearest neighbours (Å) after each atom.
Space group P4/mmm (No. 123)
Asymmetric unit:
Ba 0.0000 0.0000 0.0000  8 Co 3.37, 4 Ba 3.37, 2 Zn 3.46
Zn 0.0000 0.0000 0.5000  8 Co 2.62
Co 0.5000 0.5000 0.3438  1 Co 2.16

Record 2
TaSbC3: relaxed, PBE.

Computed properties:
Spin magnetization   0.0 μB per formula unit
Energy   -5.96 eV/atom
E_form (uncorrected)   267.49 kJ per mole of atoms

Cell: 4.1097 4.1097 4.1097 Å, 90.00 90.00 90.00°
With the nearest neighbours (Å) after each atom.
Space group Pm-3m (No. 221)
Asymmetric unit:
Ta 0.0000 0.0000 0.0000  12 C 2.91
Sb 0.5000 0.5000 0.5000  6 C 2.05
C 0.0000 0.5000 0.5000  2 Sb 2.05

Record 3
Pm4GeSeI2: relaxed, PBE.

Computed properties:
Spin magnetization   0.0 μB per formula unit
Energy   -4.98 eV/atom
E_form (uncorrected)   -115.83 kJ per mole of atoms

Cell: 7.4114 4.3401 7.9943 Å, 90.00 108.42 90.00°
With the nearest neighbours (Å) after each atom.
Space group P2/m (No. 10)
Asymmetric unit:
Pm 0.2290 0.0000 0.1950  2 Ge 2.89, 1 Se 2.91
Pm 0.2670 0.5000 0.8069  1 Ge 2.87, 2 Se 2.90
Ge 0.0000 0.5000 0.0000  6 Pm 2.87-2.89
Se 0.5000 0.0000 0.0000  6 Pm 2.90-2.91
I 0.0000 0.0000 0.5000  6 Pm 3.38-3.40
I 0.5000 0.5000 0.5000  6 Pm 3.40-3.42

Record 4
SrGaClO2: relaxed, PBE.

Computed properties:
Spin magnetization   0.0 μB per formula unit
Energy   -5.47 eV/atom
E_form (uncorrected)   -209.77 kJ per mole of atoms

Cell: 6.6239 4.1504 7.6562 Å, 90.00 102.92 90.00°
With the nearest neighbours (Å) after each atom.
Space group P2_1/m (No. 11)
Asymmetric unit:
Sr 0.2205 0.2500 0.1354  4 O 2.41-2.67
Ga 0.0494 0.2500 0.6431  2 O 1.82-1.86
Cl 0.4206 0.2500 0.7703  1 Ga 2.43
O 0.0110 0.2500 0.3948  1 Ga 1.86
O 0.0411 0.7500 0.1496  1 Ga 1.82